The following is a DFT calculation (PBE) of a relaxed structure of Zr5Re24.

Results
Calculated formation energy   -216 meV per atom
Total DFT energy (no corrections)   -347.76 eV per cell
Space group   I-43m (217)

Structure (extended XYZ):
```
29
Lattice="-4.8956 4.8956 4.8956 4.8956 -4.8956 4.8956 4.8956 4.8956 -4.8956" Properties=species:S:1:pos:R:3 pbc="T T T"
Zr 0.0000 0.0000 0.0000
Zr 1.8193 1.8193 -1.8193
Zr 1.8193 -1.8193 1.8193
Zr -1.8193 1.8193 1.8193
Zr 3.0763 3.0763 3.0763
Re 4.5378 1.3731 -1.3731
Re 4.5378 -1.3731 1.3731
Re 6.9968 0.8936 -0.8936
Re 6.9968 -0.8936 0.8936
Re 2.7945 0.8936 0.8936
Re 4.0020 4.0020 -2.1012
Re 4.0020 -2.1012 4.0020
Re 5.2535 1.3731 1.3731
Re 1.3731 4.5378 -1.3731
Re 1.3731 -1.3731 4.5378
Re 0.8936 2.7945 0.8936
Re 0.8936 0.8936 2.7945
Re 3.5225 3.5225 0.3578
Re 3.5225 0.3578 3.5225
Re -1.3731 4.5378 1.3731
Re -1.3731 1.3731 4.5378
Re 0.8936 6.9968 -0.8936
Re 0.8936 -0.8936 6.9968
Re 1.3731 5.2535 1.3731
Re 1.3731 1.3731 5.2535
Re 0.3578 3.5225 3.5225
Re -0.8936 6.9968 0.8936
Re -0.8936 0.8936 6.9968
Re -2.1012 4.0020 4.0020
```